Entry 1:
Computed, not measured: a geometry-optimized K2LiLaCl6 structure at the PBE level of DFT.

Computed properties:
Crystal system   cubic
Energy relative to the lowest polymorph listed for this composition   0.0337 eV per atom
D(E_F)   0.0 states/eV per cell
Uncorrected formation energy   -2071 meV/atom

Unit cell a=7.529 b=7.529 c=7.529 alpha=60.00 beta=60.00 gamma=60.00
Fractional positions:
K (0.250, 0.250, 0.250)
K (0.750, 0.750, 0.750)
Li (0.000, 0.000, 0.000)
La (0.500, 0.500, 0.500)
Cl (0.241, 0.241, 0.759)
Cl (0.241, 0.759, 0.241)
Cl (0.241, 0.759, 0.759)
Cl (0.759, 0.241, 0.241)
Cl (0.759, 0.241, 0.759)
Cl (0.759, 0.759, 0.241)

***

Entry 2:
Computed, not measured: a geometry-optimized ThScAgBi structure at the PBE level of DFT.

Computed properties:
Crystal system   cubic
D(E_F)   5.4 states/eV per cell
E_form   -221 meV/atom

Unit cell a=5.285 b=5.285 c=5.285 alpha=60.00 beta=60.00 gamma=60.00
Fractional positions:
Th (0.000, 0.000, 0.000)
Sc (0.500, 0.500, 0.500)
Ag (0.250, 0.250, 0.250)
Bi (0.750, 0.750, 0.750)

***

Entry 3:
Computed, not measured: a geometry-optimized LiAcErS3 structure at the PBE level of DFT.

Computed properties:
Crystal system   monoclinic
D(E_F)   4.8 states/eV per cell
Uncorrected formation energy   -1860 meV/atom

Unit cell a=8.270 b=3.960 c=8.670 alpha=90.00 beta=104.56 gamma=90.00
Fractional positions:
Li (0.089, 0.250, 0.088)
Li (0.911, 0.750, 0.912)
Ac (0.193, 0.250, 0.729)
Ac (0.807, 0.750, 0.271)
Er (0.334, 0.750, 0.342)
Er (0.666, 0.250, 0.658)
S (0.106, 0.250, 0.365)
S (0.212, 0.750, 0.012)
S (0.444, 0.750, 0.670)
S (0.556, 0.250, 0.330)
S (0.788, 0.250, 0.988)
S (0.894, 0.750, 0.635)

***

Entry 4:
Computed, not measured: a geometry-optimized Dy2PuH structure at the PBE level of DFT.

Computed properties:
Crystal system   trigonal
Energy relative to the lowest polymorph listed for this composition   0.0000 eV per atom
D(E_F)   9.2 states/eV per cell

Unit cell a=8.646 b=8.646 c=8.646 alpha=23.61 beta=23.61 gamma=23.61
Fractional positions:
Dy (0.222, 0.222, 0.222)
Dy (0.778, 0.778, 0.778)
Pu (0.000, 0.000, 0.000)
H (0.500, 0.500, 0.500)

***

Entry 5:
Computed, not measured: a geometry-optimized V3TcMo4 structure at the PBE level of DFT.

Computed properties:
Crystal system   orthorhombic
Energy relative to the lowest polymorph listed for this composition   0.2142 eV per atom
D(E_F)   12.1 states/eV per cell
E_form   61 meV/atom

Unit cell a=8.766 b=5.182 c=5.300 alpha=90.00 beta=90.00 gamma=90.00
Fractional positions:
V (0.000, 0.235, 0.000)
V (0.250, 0.413, 0.754)
V (0.250, 0.587, 0.254)
V (0.500, 0.765, 0.500)
V (0.750, 0.413, 0.754)
V (0.750, 0.587, 0.254)
Tc (0.000, 0.723, 0.003)
Tc (0.500, 0.277, 0.503)
Mo (0.000, 0.271, 0.502)
Mo (0.000, 0.764, 0.500)
Mo (0.248, 0.911, 0.755)
Mo (0.252, 0.089, 0.255)
Mo (0.500, 0.236, 0.000)
Mo (0.500, 0.729, 0.002)
Mo (0.748, 0.089, 0.255)
Mo (0.752, 0.911, 0.755)

***

Entry 6:
Computed, not measured: a geometry-optimized BaLiSe structure at the PBE level of DFT.

Computed properties:
Crystal system   tetragonal
Energy relative to the lowest polymorph listed for this composition   0.0000 eV per atom
D(E_F)   2.4 states/eV per cell
Uncorrected formation energy   -1264 meV/atom

Unit cell a=4.244 b=4.244 c=10.235 alpha=90.00 beta=90.00 gamma=90.00
Fractional positions:
Ba (0.250, 0.250, 0.190)
Ba (0.750, 0.750, 0.810)
Li (0.250, 0.750, 0.500)
Li (0.750, 0.250, 0.500)
Se (0.250, 0.250, 0.648)
Se (0.750, 0.750, 0.352)

***

Repeat the fourth record exactly.
Computed, not measured: a geometry-optimized Dy2PuH structure at the PBE level of DFT.

Computed properties:
Crystal system   trigonal
Energy relative to the lowest polymorph listed for this composition   0.0000 eV per atom
D(E_F)   9.2 states/eV per cell

Unit cell a=8.646 b=8.646 c=8.646 alpha=23.61 beta=23.61 gamma=23.61
Fractional positions:
Dy (0.222, 0.222, 0.222)
Dy (0.778, 0.778, 0.778)
Pu (0.000, 0.000, 0.000)
H (0.500, 0.500, 0.500)

***

Repeat the second record exactly.
Computed, not measured: a geometry-optimized ThScAgBi structure at the PBE level of DFT.

Computed properties:
Crystal system   cubic
D(E_F)   5.4 states/eV per cell
E_form   -221 meV/atom

Unit cell a=5.285 b=5.285 c=5.285 alpha=60.00 beta=60.00 gamma=60.00
Fractional positions:
Th (0.000, 0.000, 0.000)
Sc (0.500, 0.500, 0.500)
Ag (0.250, 0.250, 0.250)
Bi (0.750, 0.750, 0.750)

***

What is the D(E_F) in the fourth record? 9.2 states/eV per cell